No. 1
## Tb2Zn2CuPt5 (PBE)

Data for Tb2Zn2CuPt5 after structural relaxation.

## Properties
Calculated formation energy   -17.6 kcal/mol of atoms
V   17.3 A^3/atom
Space-group type   P4/mbm, No. 127

Cell: 3.772 9.567 9.567 Å, 90.00 90.00 90.00°
Sites, in units of the cell vectors:
Tb 0.000 0.676 0.176
Tb 0.000 0.324 0.824
Tb 0.000 0.176 0.324
Tb 0.000 0.824 0.676
Zn 0.000 0.124 0.624
Zn 0.000 0.876 0.376
Zn 0.000 0.624 0.876
Zn 0.000 0.376 0.124
Cu 0.000 0.000 0.000
Cu 0.000 0.500 0.500
Pt 0.500 0.200 0.064
Pt 0.500 0.800 0.936
Pt 0.500 0.064 0.800
Pt 0.500 0.700 0.436
Pt 0.500 0.936 0.200
Pt 0.500 0.300 0.564
Pt 0.500 0.564 0.700
Pt 0.500 0.436 0.300
Pt 0.500 0.500 0.000
Pt 0.500 0.000 0.500

---

No. 2
## CoAg3H (PBE)

Data for CoAg3H after structural relaxation.

## Properties
Raw total energy   -3.29 eV per atom
V   13.8 A^3/atom
Space-group type   Pm-3m, No. 221

Cell: 4.101 4.101 4.101 Å, 90.00 90.00 90.00°
Sites, in units of the cell vectors:
H 0.000 0.000 0.000
Co 0.500 0.500 0.500
Ag 0.000 0.500 0.000
Ag 0.000 0.000 0.500
Ag 0.500 0.000 0.000

---

No. 3
## Dy2YN (PBE)

Data for Dy2YN after structural relaxation.

## Properties
ΔE_f (raw)   -0.6736 eV/atom
V   24.5 A^3/atom
Space-group type   R-3m, No. 166

Cell: 3.464 3.464 9.627 Å, 79.64 79.64 60.00°
Sites, in units of the cell vectors:
Y 0.000 0.000 0.000
N 0.500 0.500 0.500
Dy 0.120 0.120 0.641
Dy 0.880 0.880 0.359

---

No. 4
## Li2Zn5Ni5 (PBE)

Data for Li2Zn5Ni5 after structural relaxation.

## Properties
Calculated formation energy   -3.8 kcal/mol of atoms
V   12.3 A^3/atom
Space-group type   C2/m, No. 12

Cell: 3.547 7.865 5.863 Å, 98.96 72.39 76.97°
Sites, in units of the cell vectors:
Li 0.332 0.503 0.834
Li 0.668 0.497 0.166
Zn 0.668 0.253 0.411
Zn 0.002 0.245 0.751
Zn 0.998 0.755 0.249
Zn 0.332 0.747 0.589
Zn 0.000 0.000 0.000
Ni 0.000 0.500 0.500
Ni 0.665 0.757 0.914
Ni 0.335 0.998 0.332
Ni 0.665 0.002 0.668
Ni 0.335 0.243 0.086

---

No. 5
## Pm3Nd2Er7 (PBE)

Data for Pm3Nd2Er7 after structural relaxation.

## Properties
Calculated formation energy   2.0 kcal/mol of atoms
V   32.6 A^3/atom
Space-group type   P2/m, No. 10

Cell: 3.576 5.816 18.832 Å, 93.25 90.00 90.00°
Sites, in units of the cell vectors:
Pm 0.500 0.500 0.000
Pm 0.000 0.224 0.369
Pm 0.000 0.776 0.631
Nd 0.500 0.711 0.292
Nd 0.500 0.289 0.708
Er 0.500 0.742 0.462
Er 0.500 0.258 0.538
Er 0.000 0.690 0.142
Er 0.000 0.000 0.000
Er 0.000 0.310 0.858
Er 0.500 0.808 0.828
Er 0.500 0.192 0.172

---

No. 6
## InFe2Hg (PBE)

Data for InFe2Hg after structural relaxation.

## Properties
Offset from the most stable computed form   144.8 meV per atom
Calculated formation energy   9.1 kcal/mol of atoms
V   16.7 A^3/atom
Space-group type   P2/m, No. 10

Cell: 4.006 2.910 6.441 Å, 62.99 90.00 90.00°
Sites, in units of the cell vectors:
Fe 0.000 0.012 0.988
Fe 0.000 0.488 0.512
Hg 0.500 0.250 0.250
In 0.500 0.750 0.750

---

No. 7
## CsCeHgBr6 (PBE)

Data for CsCeHgBr6 after structural relaxation.

## Properties
ΔE_f (raw)   -1.3590 eV/atom
V   44.0 A^3/atom
Space-group type   P312, No. 149

Cell: 7.597 7.597 7.924 Å, 89.99 90.00 60.01°
Sites, in units of the cell vectors:
Cs 0.000 0.000 0.000
Ce 0.667 0.667 0.500
Hg 0.333 0.333 0.500
Br 0.000 0.384 0.287
Br 0.384 0.001 0.713
Br 0.616 0.384 0.713
Br 0.000 0.616 0.713
Br 0.384 0.616 0.287
Br 0.616 0.000 0.287

---

No. 8
## CaNpPt2 (PBE)

Data for CaNpPt2 after structural relaxation.

## Properties
Offset from the most stable computed form   72.5 meV per atom
Calculated formation energy   -13.9 kcal/mol of atoms
V   24.4 A^3/atom
Space-group type   R-3m, No. 166

Cell: 4.107 4.107 7.102 Å, 73.19 73.19 60.00°
Sites, in units of the cell vectors:
Np 0.000 0.000 0.000
Ca 0.500 0.500 0.500
Pt 0.260 0.260 0.221
Pt 0.740 0.740 0.779

---

No. 9
## Ca3InSn2 (PBE)

Data for Ca3InSn2 after structural relaxation.

## Properties
Offset from the most stable computed form   0.0 meV per atom
Calculated formation energy   -12.8 kcal/mol of atoms
V   28.7 A^3/atom
Space-group type   P4/mmm, No. 123

Cell: 3.737 3.737 12.341 Å, 90.00 90.00 90.00°
Sites, in units of the cell vectors:
Ca 0.000 0.000 0.000
Ca 0.000 0.000 0.661
Ca 0.000 0.000 0.339
In 0.500 0.500 0.500
Sn 0.500 0.500 0.827
Sn 0.500 0.500 0.173

---

No. 10
## Sc2PdAuC (PBE)

Data for Sc2PdAuC after structural relaxation.

## Properties
Offset from the most stable computed form   0.0 meV per atom
Calculated formation energy   -12.9 kcal/mol of atoms
V   16.7 A^3/atom
Space-group type   P4/mmm, No. 123

Cell: 4.527 4.527 4.067 Å, 90.00 90.00 90.00°
Sites, in units of the cell vectors:
Sc 0.000 0.500 0.000
Sc 0.500 0.000 0.000
C 0.000 0.000 0.000
Au 0.500 0.500 0.500
Pd 0.000 0.000 0.500

---

No. 11
## YTm2Ru3 (PBE)

Data for YTm2Ru3 after structural relaxation.

## Properties
Offset from the most stable computed form   3.8 meV per atom
Calculated formation energy   -8.5 kcal/mol of atoms
V   19.2 A^3/atom
Space-group type   Cmmm, No. 65

Cell: 3.385 4.763 7.533 Å, 108.43 90.00 90.00°
Sites, in units of the cell vectors:
Y 0.000 0.000 0.000
Tm 0.000 0.333 0.666
Tm 0.000 0.667 0.334
Ru 0.500 0.500 0.000
Ru 0.500 0.831 0.661
Ru 0.500 0.169 0.339

---

No. 12
## ZnRhAu2 (PBE)

Data for ZnRhAu2 after structural relaxation.

## Properties
Calculated formation energy   -1.0 kcal/mol of atoms
V   16.2 A^3/atom
Space-group type   C2/m, No. 12

Cell: 4.946 4.946 4.695 Å, 75.74 75.74 35.68°
Sites, in units of the cell vectors:
Au 0.994 0.994 0.003
Au 0.506 0.506 0.497
Rh 0.750 0.750 0.750
Zn 0.250 0.250 0.250

---

No. 13
## NdSm12Y6 (PBE)

Data for NdSm12Y6 after structural relaxation.

## Properties
Offset from the most stable computed form   57.0 meV per atom
Calculated formation energy   4.6 kcal/mol of atoms
V   34.7 A^3/atom
Space-group type   R-3m, No. 166

Cell: 8.830 8.830 8.830 Å, 98.97 98.97 98.97°
Sites, in units of the cell vectors:
Nd 0.000 0.000 0.000
Sm 0.757 0.243 0.500
Sm 0.354 0.080 0.354
Sm 0.354 0.354 0.080
Sm 0.920 0.646 0.646
Sm 0.646 0.646 0.920
Sm 0.646 0.920 0.646
Sm 0.500 0.757 0.243
Sm 0.243 0.500 0.757
Sm 0.243 0.757 0.500
Sm 0.500 0.243 0.757
Sm 0.757 0.500 0.243
Sm 0.080 0.354 0.354
Y 0.899 0.339 0.899
Y 0.899 0.899 0.339
Y 0.339 0.899 0.899
Y 0.101 0.101 0.661
Y 0.101 0.661 0.101
Y 0.661 0.101 0.101

---

No. 14
## Pa2TcSbC (PBE)

Data for Pa2TcSbC after structural relaxation.

## Properties
ΔE_f (raw)   -0.4052 eV/atom
V   21.0 A^3/atom
Space-group type   P2_1/m, No. 11

Cell: 3.847 7.251 8.546 Å, 118.44 90.00 90.00°
Sites, in units of the cell vectors:
Pa 0.750 0.751 0.600
Pa 0.750 0.790 0.001
Pa 0.250 0.249 0.400
Pa 0.250 0.210 0.999
Tc 0.250 0.524 0.726
Tc 0.750 0.476 0.274
Sb 0.250 0.755 0.285
Sb 0.750 0.245 0.715
C 0.250 0.849 0.820
C 0.750 0.151 0.180

---

No. 15
## NbTe3Rh (PBE)

Data for NbTe3Rh after structural relaxation.

## Properties
Offset from the most stable computed form   987.1 meV per atom
ΔE_f (raw)   0.7615 eV/atom
V   26.7 A^3/atom
Space-group type   Pm-3m, No. 221

Cell: 5.111 5.111 5.111 Å, 90.00 90.00 90.00°
Sites, in units of the cell vectors:
Nb 0.500 0.500 0.500
Te 0.000 0.500 0.000
Te 0.000 0.000 0.500
Te 0.500 0.000 0.000
Rh 0.000 0.000 0.000

---

No. 16
## AlSbTe2Pb (PBE)

Data for AlSbTe2Pb after structural relaxation.

## Properties
Offset from the most stable computed form   601.2 meV per atom
ΔE_f (raw)   0.7609 eV/atom
V   40.5 A^3/atom
Space-group type   P4/mmm, No. 123

Cell: 5.904 5.904 5.807 Å, 90.00 90.00 90.00°
Sites, in units of the cell vectors:
Pb 0.000 0.000 0.000
Sb 0.000 0.000 0.500
Te 0.000 0.500 0.000
Te 0.500 0.000 0.000
Al 0.500 0.500 0.500

---

No. 17
## RhAu (PBE)

Data for RhAu after structural relaxation.

## Properties
Calculated formation energy   5.9 kcal/mol of atoms
V   17.4 A^3/atom
Space-group type   I4/mmm, No. 139

Cell: 8.511 8.511 3.833 Å, 90.00 90.00 90.00°
Sites, in units of the cell vectors:
Rh 0.846 0.500 0.000
Rh 0.154 0.500 0.000
Rh 0.500 0.154 0.000
Rh 0.500 0.846 0.000
Rh 0.346 0.000 0.500
Rh 0.654 0.000 0.500
Rh 0.000 0.654 0.500
Rh 0.000 0.346 0.500
Au 0.161 0.161 0.000
Au 0.161 0.839 0.000
Au 0.839 0.161 0.000
Au 0.839 0.839 0.000
Au 0.661 0.661 0.500
Au 0.661 0.339 0.500
Au 0.339 0.661 0.500
Au 0.339 0.339 0.500

---

No. 18
## Dy4HgPdAu2 (PBE)

Data for Dy4HgPdAu2 after structural relaxation.

## Properties
Calculated formation energy   -17.8 kcal/mol of atoms
V   23.4 A^3/atom
Space-group type   R-3m, No. 166

Cell: 5.102 5.102 8.824 Å, 73.20 73.20 60.00°
Sites, in units of the cell vectors:
Dy 0.380 0.380 0.861
Dy 0.871 0.871 0.387
Dy 0.129 0.129 0.613
Dy 0.620 0.620 0.139
Hg 0.000 0.000 0.000
Pd 0.500 0.500 0.500
Au 0.746 0.746 0.761
Au 0.254 0.254 0.239

---

No. 19
## BaLiTa2Tc (PBE)

Data for BaLiTa2Tc after structural relaxation.

## Properties
Calculated formation energy   43.3 kcal/mol of atoms
V   21.1 A^3/atom
Space-group type   P4/mmm, No. 123

Cell: 4.557 5.079 4.557 Å, 90.00 90.00 90.00°
Sites, in units of the cell vectors:
Tc 0.500 0.500 0.500
Li 0.000 0.000 0.000
Ba 0.000 0.500 0.000
Ta 0.000 0.000 0.500
Ta 0.500 0.000 0.000

---

No. 20
## ZnGa2Rh (PBE)

Data for ZnGa2Rh after structural relaxation.

## Properties
Calculated formation energy   -6.7 kcal/mol of atoms
V   16.7 A^3/atom
Space-group type   R3m, No. 160

Cell: 4.144 4.144 5.091 Å, 65.99 65.99 60.00°
Sites, in units of the cell vectors:
Zn 0.488 0.488 0.537
Ga 0.064 0.064 0.807
Ga 0.268 0.268 0.195
Rh 0.680 0.680 0.960

---

No. 21
## BeCdOs (PBE)

Data for BeCdOs after structural relaxation.

## Properties
Offset from the most stable computed form   164.6 meV per atom
Calculated formation energy   10.0 kcal/mol of atoms
V   14.7 A^3/atom
Space-group type   Fmm2, No. 42

Cell: 6.782 6.554 2.751 Å, 82.77 73.50 23.73°
Sites, in units of the cell vectors:
Be 0.015 0.015 0.985
Os 0.645 0.645 0.355
Cd 0.341 0.341 0.659

---

No. 22
## TlCrTc (PBE)

Data for TlCrTc after structural relaxation.

## Properties
Offset from the most stable computed form   230.3 meV per atom
Calculated formation energy   16.2 kcal/mol of atoms
V   16.6 A^3/atom
Space-group type   P3m1, No. 156

Cell: 4.290 4.290 3.115 Å, 90.00 90.00 120.00°
Sites, in units of the cell vectors:
Cr 0.000 0.000 0.108
Tc 0.333 0.667 0.213
Tl 0.667 0.333 0.678

---

No. 23
## KTa3Cr (PBE)

Data for KTa3Cr after structural relaxation.

## Properties
Offset from the most stable computed form   1696.1 meV per atom
Calculated formation energy   70.7 kcal/mol of atoms
V   19.7 A^3/atom
Space-group type   Pm-3m, No. 221

Cell: 4.621 4.621 4.621 Å, 90.00 90.00 90.00°
Sites, in units of the cell vectors:
Cr 0.500 0.500 0.500
K 0.000 0.000 0.000
Ta 0.000 0.500 0.000
Ta 0.000 0.000 0.500
Ta 0.500 0.000 0.000

---

No. 24
## HoNbOsRh (PBE)

Data for HoNbOsRh after structural relaxation.

## Properties
Calculated formation energy   -7.7 kcal/mol of atoms
V   17.8 A^3/atom
Space-group type   F-43m, No. 216

Cell: 4.649 4.649 4.649 Å, 60.00 60.00 60.00°
Sites, in units of the cell vectors:
Rh 0.750 0.750 0.750
Nb 0.000 0.000 0.000
Os 0.250 0.250 0.250
Ho 0.500 0.500 0.500

---

No. 25
## Sm2DyAg (PBE)

Data for Sm2DyAg after structural relaxation.

## Properties
Offset from the most stable computed form   0.0 meV per atom
Calculated formation energy   -2.5 kcal/mol of atoms
V   29.4 A^3/atom
Space-group type   P4/mmm, No. 123

Cell: 3.641 3.641 8.859 Å, 90.00 90.00 90.00°
Sites, in units of the cell vectors:
Ag 0.500 0.500 0.000
Sm 0.000 0.000 0.782
Sm 0.000 0.000 0.218
Dy 0.500 0.500 0.500

---

No. 26
## LiSbCl (PBE)

Data for LiSbCl after structural relaxation.

## Properties
Offset from the most stable computed form   570.4 meV per atom
ΔE_f (raw)   -0.2546 eV/atom
V   22.1 A^3/atom
Space-group type   P-6m2, No. 187

Cell: 4.744 4.744 3.404 Å, 90.00 90.00 120.00°
Sites, in units of the cell vectors:
Cl 0.000 0.000 0.167
Li 0.667 0.333 0.166
Sb 0.333 0.667 0.667